{"formula": "SrYZn", "functional": "PBE", "state": "relaxed", "crystal_system": "trigonal", "delta_e_f_ev_per_atom": 0.07, "relative_energy_ev_per_atom": 0.1954, "lattice_angstrom": [[5.145, 0.000, 0.000], [-2.572, 4.456, 0.000], [0.000, 0.000, 4.259]], "species": ["Zn", "Sr", "Y"], "frac_coords": [[0.333, 0.667, 0.501], [0.000, 0.000, 0.000], [0.667, 0.333, 0.499]]}